Record 1
The following is a PBE calculation of an optimized crystal structure of V2CrCo6, from the Alexandria database. Values from VASP.

Calculated values
**Formation energy from the elements**: 0.40 eV per atom
**Total moment**: 0.00 μB per formula unit
**Energy above the lowest structure with this stoichiometry**: 2.53 eV per formula unit

The structure in Quantum ESPRESSO input format:
```
&SYSTEM
  ibrav = 0, nat = 9, ntyp = 3
/
ATOMIC_SPECIES
Cr 52.00 Cr.upf
Co 58.93 Co.upf
V 50.94 V.upf
CELL_PARAMETERS angstrom
-3.677 -0.925 0.032
1.073 -4.364 -2.905
2.099 -0.337 6.211
ATOMIC_POSITIONS crystal
Cr 0.000 0.000 0.000
Co 0.164 0.412 0.329
Co 0.164 0.917 0.329
Co 0.500 0.245 0.000
Co 0.836 0.083 0.671
Co 0.500 0.755 0.000
V 0.334 0.333 0.666
Co 0.836 0.588 0.671
V 0.666 0.667 0.334
```

Record 2
The following is a PBE calculation of an optimized crystal structure of V2Cr2Co, from the Alexandria database. Values from VASP.

Calculated values
**Formation energy from the elements**: 0.22 eV per atom
**Total moment**: 0.97 μB per formula unit

The structure in Quantum ESPRESSO input format:
```
&SYSTEM
  ibrav = 0, nat = 5, ntyp = 3
/
ATOMIC_SPECIES
Co 58.93 Co.upf
Cr 52.00 Cr.upf
V 50.94 V.upf
CELL_PARAMETERS angstrom
-1.491 -1.774 -1.671
1.696 -2.369 1.002
-3.790 -2.268 5.791
ATOMIC_POSITIONS crystal
Co 0.000 0.000 0.000
Cr 0.000 0.192 0.616
V 0.500 0.602 0.795
V 0.500 0.398 0.205
Cr 0.000 0.808 0.384
```

Record 3
The following is a PBE calculation of an optimized crystal structure of VZnCr2Co, from the Alexandria database. Values from VASP.

Calculated values
**Formation energy from the elements**: 1.64 eV per atom
**Total moment**: 2.53 μB per formula unit

The structure in Quantum ESPRESSO input format:
```
&SYSTEM
  ibrav = 0, nat = 5, ntyp = 4
/
ATOMIC_SPECIES
Cr 52.00 Cr.upf
Zn 65.41 Zn.upf
V 50.94 V.upf
Co 58.93 Co.upf
CELL_PARAMETERS angstrom
4.321 0.000 0.000
0.000 4.166 0.000
0.000 0.000 4.321
ATOMIC_POSITIONS crystal
Cr 0.000 0.000 0.500
Zn 0.000 0.000 0.000
V 0.500 0.500 0.500
Cr 0.500 0.000 0.000
Co 0.000 0.500 0.000
```

Record 4
The following is a PBE calculation of an optimized crystal structure of CrCo2W, from the Alexandria database. Values from VASP.

Calculated values
**Formation energy from the elements**: 0.21 eV per atom
**Total moment**: 1.08 μB per formula unit
**Energy above the lowest structure with this stoichiometry**: 0.75 eV per formula unit

The structure in Quantum ESPRESSO input format:
```
&SYSTEM
  ibrav = 0, nat = 4, ntyp = 3
/
ATOMIC_SPECIES
Cr 52.00 Cr.upf
Co 58.93 Co.upf
W 183.84 W.upf
CELL_PARAMETERS angstrom
-2.113 -0.207 -3.514
-3.988 -0.976 0.057
-2.824 2.851 -0.869
ATOMIC_POSITIONS crystal
Cr 0.500 0.500 0.500
Co 0.250 0.250 0.250
W 0.750 0.750 0.750
Co 0.000 0.000 0.000
```

Record 5
The following is a PBE calculation of an optimized crystal structure of CrCo2W, from the Alexandria database. Values from VASP.

Calculated values
**Formation energy from the elements**: 0.08 eV per atom
**Total moment**: 0.02 μB per formula unit
**Energy above the lowest structure with this stoichiometry**: 0.22 eV per formula unit

The structure in Quantum ESPRESSO input format:
```
&SYSTEM
  ibrav = 0, nat = 4, ntyp = 3
/
ATOMIC_SPECIES
Co 58.93 Co.upf
Cr 52.00 Cr.upf
W 183.84 W.upf
CELL_PARAMETERS angstrom
-1.051 -2.770 -3.317
-1.832 -1.450 3.785
-2.139 1.406 -0.497
ATOMIC_POSITIONS crystal
Co 0.000 0.000 0.000
Cr 0.500 0.000 0.500
W 0.000 0.500 0.500
Co 0.500 0.500 0.000
```

Record 6
The following is a PBE calculation of an optimized crystal structure of CrCoW, from the Alexandria database. Values from VASP.

Calculated values
**Formation energy from the elements**: 0.88 eV per atom
**Total moment**: 2.56 μB per formula unit
**Energy above the lowest structure with this stoichiometry**: 2.41 eV per formula unit

The structure in Quantum ESPRESSO input format:
```
&SYSTEM
  ibrav = 0, nat = 3, ntyp = 3
/
ATOMIC_SPECIES
Co 58.93 Co.upf
Cr 52.00 Cr.upf
W 183.84 W.upf
CELL_PARAMETERS angstrom
-0.742 1.530 -3.673
0.823 -2.185 -3.306
-3.021 -1.494 -2.242
ATOMIC_POSITIONS crystal
Co 0.000 0.000 0.000
Cr 0.500 0.500 0.500
W 0.750 0.750 0.750
```

Record 7
The following is a PBE calculation of an optimized crystal structure of CrCoW, from the Alexandria database. Values from VASP.

Calculated values
**Formation energy from the elements**: 0.13 eV per atom
**Total moment**: 0.60 μB per formula unit
**Energy above the lowest structure with this stoichiometry**: 0.14 eV per formula unit

The structure in Quantum ESPRESSO input format:
```
&SYSTEM
  ibrav = 0, nat = 6, ntyp = 3
/
ATOMIC_SPECIES
W 183.84 W.upf
Co 58.93 Co.upf
Cr 52.00 Cr.upf
CELL_PARAMETERS angstrom
2.619 -0.012 0.007
1.104 4.851 0.000
1.257 0.929 6.061
ATOMIC_POSITIONS crystal
W 0.938 0.416 0.308
Co 0.324 0.777 0.010
Cr 0.534 0.088 0.659
Cr 0.466 0.912 0.341
Co 0.676 0.223 0.990
W 0.062 0.584 0.692
```

Record 8
The following is a PBE calculation of an optimized crystal structure of CrCoW2, from the Alexandria database. Values from VASP.

Calculated values
**Formation energy from the elements**: 0.24 eV per atom
**Total moment**: 0.35 μB per formula unit
**Energy above the lowest structure with this stoichiometry**: 0.36 eV per formula unit

The structure in Quantum ESPRESSO input format:
```
&SYSTEM
  ibrav = 0, nat = 4, ntyp = 3
/
ATOMIC_SPECIES
Cr 52.00 Cr.upf
W 183.84 W.upf
Co 58.93 Co.upf
CELL_PARAMETERS angstrom
-1.327 0.378 2.270
-1.144 -2.382 -0.272
5.892 -3.284 3.990
ATOMIC_POSITIONS crystal
Cr 0.500 0.500 0.750
W 0.000 0.000 0.486
W 0.000 0.000 0.014
Co 0.500 0.500 0.250
```

Record 9
The following is a PBE calculation of an optimized crystal structure of CrCoW2, from the Alexandria database. Values from VASP.

Calculated values
**Formation energy from the elements**: 0.42 eV per atom
**Total moment**: 2.48 μB per formula unit
**Energy above the lowest structure with this stoichiometry**: 1.10 eV per formula unit

The structure in Quantum ESPRESSO input format:
```
&SYSTEM
  ibrav = 0, nat = 4, ntyp = 3
/
ATOMIC_SPECIES
W 183.84 W.upf
Cr 52.00 Cr.upf
Co 58.93 Co.upf
CELL_PARAMETERS angstrom
8.886 -0.033 -0.019
8.473 2.676 -0.019
8.473 1.290 2.344
ATOMIC_POSITIONS crystal
W 0.502 0.502 0.502
Cr 0.750 0.750 0.750
W 0.998 0.998 0.998
Co 0.250 0.250 0.250
```

Record 10
The following is a PBE calculation of an optimized crystal structure of CrCoW, from the Alexandria database. Values from VASP.

Calculated values
**Formation energy from the elements**: 0.15 eV per atom
**Total moment**: 0.23 μB per formula unit
**Energy above the lowest structure with this stoichiometry**: 0.21 eV per formula unit

The structure in Quantum ESPRESSO input format:
```
&SYSTEM
  ibrav = 0, nat = 6, ntyp = 3
/
ATOMIC_SPECIES
W 183.84 W.upf
Cr 52.00 Cr.upf
Co 58.93 Co.upf
CELL_PARAMETERS angstrom
-2.309 2.854 -1.964
-0.658 -4.051 -0.701
-3.401 -0.112 3.836
ATOMIC_POSITIONS crystal
W 0.000 0.000 0.232
Cr 0.333 0.667 0.039
Cr 0.667 0.333 0.378
W 0.667 0.333 0.866
Co 0.333 0.667 0.534
Co 0.000 0.000 0.734
```

| no. | calculated total energy (Ha/atom) |
| --- | --- |
| 1 | -0.2731 |
| 2 | -0.3195 |
| 3 | -0.2099 |
| 4 | -0.3301 |
| 5 | -0.3350 |
| 6 | -0.3312 |
| 7 | -0.3590 |
| 8 | -0.3830 |
| 9 | -0.3763 |
| 10 | -0.3582 |